NpBeOsC | PBE | optimized geometry

Density of states at the Fermi level ... 12.84 states/eV/cell
E_form ... 60 meV per atom

The structure in CIF format:
```
data_NpBeOsC
_cell_length_a 3.614
_cell_length_b 3.614
_cell_length_c 8.406
_cell_angle_alpha 90.00
_cell_angle_beta 90.00
_cell_angle_gamma 90.00
_space_group_name_H-M_alt 'P 4/n m m'
_space_group_IT_number 129
loop_
_space_group_symop_operation_xyz
'x,y,z'
'-x,-y,-z'
'-y+1/2,x,z'
'y+1/2,-x,-z'
'-x+1/2,-y+1/2,z'
'x+1/2,y+1/2,-z'
'y,-x+1/2,z'
'-y,x+1/2,-z'
'x+1/2,-y,-z'
'-x+1/2,y,z'
'-y,-x,-z'
'y,x,z'
'-x,y+1/2,-z'
'x,-y+1/2,z'
'y+1/2,x+1/2,-z'
'-y+1/2,-x+1/2,z'
loop_
_atom_site_label
_atom_site_fract_x
_atom_site_fract_y
_atom_site_fract_z
Np1 0.250 0.250 0.157
Be1 0.250 0.250 0.684
Os1 0.250 0.750 0.500
C1 0.250 0.250 0.887
```